This record from Alexandria via LeMat-Bulk describes a geometry-optimized TlTcO3 structure. The functional is PBE.

## Properties
E_form (uncorrected): -1.10 eV per atom
crystal system: orthorhombic
space group: No. 38

Cell lengths 2.878, 5.571, 5.571 Å; angles 93.61, 90.00, 90.00 degrees
Sites, in units of the cell vectors:
O: 0.000 0.222 0.778
O: 0.500 0.672 0.646
Tl: 0.500 0.944 0.056
Tc: 0.000 0.435 0.565
O: 0.500 0.354 0.328